[1]
Computed, not measured: a relaxed Cu2Au3 crystal at the GGA-PBE level of DFT.

a b c (Å): 9.567 13.731 4.881
angles (deg): 90.00 90.00 90.00
Space group Fdd2 (No. 43)
Asymmetric unit:
Cu1 0.002 0.302 0.000 (multiplicity 16)
Au1 0.000 0.000 0.498 (multiplicity 8)
Au2 0.003 0.391 0.498 (multiplicity 16)

Properties
uncorrected energy = -143.59 eV/cell
density = 14.9 Mg/m³



[2]
Computed, not measured: a relaxed CaSm2TlO crystal at the GGA-PBE level of DFT.

a b c (Å): 4.921 4.921 4.859
angles (deg): 90.00 90.00 90.00
Space group P4/mmm (No. 123)
Asymmetric unit:
Ca1 0.000 0.000 0.000 (multiplicity 1)
Sm1 0.000 0.500 0.500 (multiplicity 2)
Tl1 0.500 0.500 0.000 (multiplicity 1)
O1 0.000 0.000 0.500 (multiplicity 1)

Properties
raw formation energy = -1362 meV per atom
density = 7.9 Mg/m³



[3]
Computed, not measured: a relaxed AcCd2Pd6 crystal at the GGA-PBE level of DFT.

a b c (Å): 5.5835 5.5835 7.3317
angles (deg): 90.00 90.00 120.00
Space group P6/mmm (No. 191)
Asymmetric unit:
Ac1 0.0000 0.0000 0.0000 (multiplicity 1)
Cd1 0.3333 0.6667 0.5000 (multiplicity 2)
Pd1 0.0000 0.5000 0.1912 (multiplicity 6)

Properties
uncorrected energy = -40.40 eV/cell
density = 9.1 Mg/m³



[4]
Computed, not measured: a relaxed HoZnPt2 crystal at the GGA-PBE level of DFT.

a b c (Å): 4.243 4.243 3.928
angles (deg): 90.00 90.00 90.00
Space group P4/mmm (No. 123)
Asymmetric unit:
Ho1 0.000 0.000 0.000 (multiplicity 1)
Zn1 0.500 0.500 0.000 (multiplicity 1)
Pt1 0.000 0.500 0.500 (multiplicity 2)

Properties
uncorrected energy = -21.35 eV/cell
density = 14.6 Mg/m³



[5]
Computed, not measured: a relaxed MnFePt14 crystal at the GGA-PBE level of DFT.

a b c (Å): 9.208 5.587 9.621
angles (deg): 90.00 90.00 90.00
Space group Amm2 (No. 38)
Asymmetric unit:
Mn1 0.000 0.000 0.000 (multiplicity 2)
Fe1 0.000 0.000 0.498 (multiplicity 2)
Pt1 0.000 0.250 0.254 (multiplicity 4)
Pt2 0.238 0.249 0.581 (multiplicity 8)
Pt3 0.244 0.000 0.334 (multiplicity 4)
Pt4 0.246 0.000 0.834 (multiplicity 4)
Pt5 0.500 0.000 0.162 (multiplicity 2)
Pt6 0.500 0.000 0.662 (multiplicity 2)
Pt7 0.500 0.250 0.413 (multiplicity 4)

Properties
uncorrected energy = -207.59 eV/cell
density = 19.1 Mg/m³